(i)
The following is a DFT calculation (PBE-GGA) of crystalline HPd2Se at its relaxed geometry.

Properties
Symmetry = Fm-3m

```
4
Lattice="0.0000 3.0247 3.0247 3.0247 0.0000 3.0247 3.0247 3.0247 0.0000" Properties=species:S:1:pos:R:3 pbc="T T T"
H 0.0000 0.0000 0.0000
Pd 1.5123 1.5123 1.5123
Pd 4.5370 4.5370 4.5370
Se 3.0247 3.0247 3.0247
```

***

(ii)
The following is a DFT calculation (PBE-GGA) of crystalline HPd2Se at its relaxed geometry.

Properties
Symmetry = I-42d

```
8
Lattice="-2.4782 2.4782 4.8356 2.4782 -2.4782 4.8356 2.4782 2.4782 -4.8356" Properties=species:S:1:pos:R:3 pbc="T T T"
H 0.0000 0.0000 0.0000
H 0.0000 2.4782 2.4178
Pd 3.7174 0.7085 -1.2089
Pd 0.7085 1.2391 1.2089
Pd -1.2391 1.7697 3.6267
Pd 1.7697 1.2391 6.0446
Se 2.4782 0.0000 2.4178
Se 0.0000 0.0000 4.8356
```

***

(ii) comes first in stability; the runner-up is 40.5 kJ/mol of atoms higher.